# 1
VASP calculation (PBE) on a geometry-optimized Ti3VC3 structure.

Summary:
Magnetic moment ... 0.00 Bohr magnetons per cell
Fermi-level density of states ... 0.529 states/eV per atom
E_form ... -681 meV per atom
SG ... Cmcm, No. 63

a b c (Å): 6.0145 6.0145 4.3477
angles (deg): 90.00 90.00 92.15
Fractional positions:
Ti (0.1140, 0.8860, 0.7500)
Ti (0.1271, 0.3756, 0.7500)
Ti (0.3756, 0.1271, 0.2500)
Ti (0.6244, 0.8729, 0.7500)
Ti (0.8729, 0.6244, 0.2500)
Ti (0.8860, 0.1140, 0.2500)
V (0.3555, 0.6445, 0.2500)
V (0.6445, 0.3555, 0.7500)
C (0.1277, 0.8723, 0.2500)
C (0.1363, 0.3846, 0.2500)
C (0.3846, 0.1363, 0.7500)
C (0.6154, 0.8637, 0.2500)
C (0.8637, 0.6154, 0.7500)
C (0.8723, 0.1277, 0.7500)



# 2
VASP calculation (PBE) on a geometry-optimized CsTeH2 structure.

Summary:
Magnetic moment ... 0.00 Bohr magnetons per cell
Fermi-level density of states ... 0.861 states/eV per atom
SG ... P1, No. 1
Total energy ... -12.0 eV per formula unit

a b c (Å): 3.4714 5.9699 5.9778
angles (deg): 60.06 89.97 89.99
Fractional positions:
Cs (0.0000, 0.0000, 0.0000)
Te (0.4994, 0.6670, 0.6658)
H (0.1060, 0.3334, 0.3299)
H (0.8886, 0.3327, 0.3317)



# 3
VASP calculation (PBE) on a geometry-optimized Pm6AlHg3 structure.

Summary:
Magnetic moment ... 0.00 Bohr magnetons per cell
Fermi-level density of states ... 0.970 states/eV per atom
E_form ... -334 meV per atom
SG ... P2_1/m, No. 11

a b c (Å): 9.4829 5.3085 11.7811
angles (deg): 90.00 106.31 90.00
Fractional positions:
Pm (0.0231, 0.2500, 0.4034)
Pm (0.1568, 0.7500, 0.1756)
Pm (0.2620, 0.2500, 0.0028)
Pm (0.3508, 0.7500, 0.8307)
Pm (0.3759, 0.2500, 0.3426)
Pm (0.3888, 0.2500, 0.6215)
Pm (0.6112, 0.7500, 0.3785)
Pm (0.6241, 0.7500, 0.6574)
Pm (0.6492, 0.2500, 0.1693)
Pm (0.7380, 0.7500, 0.9972)
Pm (0.8432, 0.2500, 0.8244)
Pm (0.9769, 0.7500, 0.5966)
Al (0.4533, 0.7500, 0.1117)
Al (0.5467, 0.2500, 0.8883)
Hg (0.0244, 0.7500, 0.8782)
Hg (0.1216, 0.2500, 0.7229)
Hg (0.2727, 0.7500, 0.4685)
Hg (0.7273, 0.2500, 0.5315)
Hg (0.8784, 0.7500, 0.2771)
Hg (0.9756, 0.2500, 0.1218)



# 4
VASP calculation (PBE) on a geometry-optimized AcTbAlIn structure.

Summary:
Magnetic moment ... 0.00 Bohr magnetons per cell
Fermi-level density of states ... 0.306 states/eV per atom
E_form ... -326 meV per atom
SG ... F-43m, No. 216

a b c (Å): 5.4845 5.4845 5.4845
angles (deg): 60.00 60.00 60.00
Fractional positions:
Ac (0.0000, 0.0000, 0.0000)
Tb (0.5000, 0.5000, 0.5000)
Al (0.7500, 0.7500, 0.7500)
In (0.2500, 0.2500, 0.2500)